Entry 1:
Compound: BaCdBiAu2
Source: the Alexandria database
Functional: PBE-GGA
Structure: optimized geometry

Cell lengths 7.0380, 7.0380, 7.0380 Å; angles 140.24, 140.24, 57.50 degrees
Positions (direct):
1 Ba 0.0000 0.0000 0.0000
2 Cd 0.2500 0.7500 0.5000
3 Bi 0.7500 0.2500 0.5000
4 Au 0.3888 0.3888 0.0000
5 Au 0.6112 0.6112 0.0000

## Properties
* theoretical density: 10013 kg/m3
* energy of formation from the pure elements: -0.4997 eV per atom
* space group: I-4m2



Entry 2:
Compound: SrLiP3
Source: the Alexandria database
Functional: PBE-GGA
Structure: optimized geometry

Cell lengths 4.6093, 4.6093, 4.6093 Å; angles 90.00, 90.00, 90.00 degrees
Positions (direct):
1 Sr 0.0000 0.0000 0.0000
2 Li 0.5000 0.5000 0.5000
3 P 0.0000 0.5000 0.5000
4 P 0.5000 0.0000 0.5000
5 P 0.5000 0.5000 0.0000

## Properties
* energy relative to the lowest polymorph listed for this composition: 0.0 meV per atom
* theoretical density: 3179 kg/m3
* energy of formation from the pure elements: 0.0049 eV per atom
* space group: Pm-3m



Entry 3:
Compound: PaAlGa2Si
Source: the Alexandria database
Functional: PBE-GGA
Structure: optimized geometry

Cell lengths 5.4321, 5.4321, 9.7050 Å; angles 90.00, 90.00, 134.65 degrees
Positions (direct):
1 Pa 0.2004 0.7996 0.7500
2 Pa 0.7996 0.2004 0.2500
3 Al 0.0000 0.0000 0.0000
4 Al 0.0000 0.0000 0.5000
5 Ga 0.3359 0.6641 0.0305
6 Ga 0.3359 0.6641 0.4695
7 Ga 0.6641 0.3359 0.5305
8 Ga 0.6641 0.3359 0.9695
9 Si 0.4924 0.5076 0.7500
10 Si 0.5076 0.4924 0.2500

## Properties
* theoretical density: 6937 kg/m3
* ΔE_f (raw): 0.01 eV per atom
* space group: Cmcm



Entry 4:
Compound: CaB3Pb
Source: the Alexandria database
Functional: PBE-GGA
Structure: optimized geometry

Cell lengths 4.8068, 4.8068, 4.8068 Å; angles 90.00, 90.00, 90.00 degrees
Positions (direct):
1 Ca 0.0000 0.0000 0.0000
2 B 0.0000 0.0000 0.5000
3 B 0.0000 0.5000 0.0000
4 B 0.5000 0.0000 0.0000
5 Pb 0.5000 0.5000 0.5000

## Properties
* energy relative to the lowest polymorph listed for this composition: 401.6 meV per atom
* theoretical density: 4182 kg/m3
* energy of formation from the pure elements: 2.2988 eV per atom
* space group: Pm-3m



Calculated Fermi-level density of states in order - 0.53, 0.51, 0.88, 0.62 states/eV per atom